Material: Co2HgHPd
Method: DFT, PBE
State: optimized geometry

Cell: 3.890 3.890 3.974 Å, 90.00 90.00 90.00°
Last column: magnetic moment on the atom in μB.
Sites, in units of the cell vectors:
Co1 0.000 0.500 0.000  1.51
Co2 0.500 0.000 0.000  1.51
Hg1 0.500 0.500 0.500  -0.02
H1 0.000 0.000 0.000  -0.01
Pd1 0.000 0.000 0.500  0.05

Values from the calculation:
**Space group**: P4/mmm (123)
**Total DFT energy (no corrections)**: -4.42 eV/atom
**Total moment**: 0.59 μB/atom

Material: HgRuW2
Method: DFT, PBE
State: optimized geometry

Cell: 9.634 9.634 9.634 Å, 16.99 16.99 16.99°
Sites, in units of the cell vectors:
Hg1 0.250 0.250 0.250
W1 0.007 0.007 0.007
W2 0.493 0.493 0.493
Ru1 0.750 0.750 0.750

Values from the calculation:
**Space group**: R-3m (166)
**Energy above the most stable polymorph in this dataset**: 1.15 kcal/mol of atoms
**Total moment**: 0.00 μB/atom
**Energy relative to the elements**: 45 kJ/mol of atoms

Material: ZnSi2Cl
Method: DFT, PBE
State: optimized geometry

Cell: 5.144 2.906 4.974 Å, 75.95 90.00 90.00°
Sites, in units of the cell vectors:
Si1 0.500 0.070 0.167
Si2 0.000 0.151 0.117
Cl1 0.500 0.832 0.623
Zn1 0.000 0.447 0.593

Values from the calculation:
**Space group**: Pm (6)
**Energy above the most stable polymorph in this dataset**: 3.39 kcal/mol of atoms
**Uncorrected formation energy**: 141 meV/atom
**Total moment**: 0.00 μB/atom

Material: InPIO2
Method: DFT, PBE
State: optimized geometry

Cell: 4.059 4.059 5.604 Å, 90.00 90.00 90.00°
Sites, in units of the cell vectors:
P1 0.000 0.000 0.500
I1 0.000 0.000 0.000
In1 0.500 0.500 0.500
O1 0.000 0.500 0.000
O2 0.500 0.000 0.000

Values from the calculation:
**Space group**: P4/mmm (123)
**Energy above the most stable polymorph in this dataset**: 2.62 kcal/mol of atoms
**Uncorrected formation energy**: 89 meV/atom
**Total moment**: 0.00 μB/atom

Material: KCoN
Method: DFT, PBE
State: optimized geometry

Cell: 3.484 6.619 9.797 Å, 90.00 90.00 90.00°
Last column: magnetic moment on the atom in μB.
Sites, in units of the cell vectors:
N1 0.250 0.335 0.461  0.07
N2 0.250 0.165 0.961  0.07
N3 0.750 0.835 0.039  0.07
N4 0.750 0.665 0.539  0.07
K1 0.750 0.546 0.822  0.00
K2 0.250 0.046 0.678  0.00
K3 0.750 0.954 0.322  0.00
K4 0.250 0.454 0.178  0.00
Co1 0.250 0.889 0.026  0.32
Co2 0.250 0.611 0.526  0.32
Co3 0.750 0.389 0.474  0.32
Co4 0.750 0.111 0.974  0.32

Values from the calculation:
**Space group**: Pnma (62)
**Energy above the most stable polymorph in this dataset**: 0.79 kcal/mol of atoms
**Uncorrected formation energy**: -43 meV/atom
**Total moment**: 0.13 μB/atom

Material: Pm7NdEr12
Method: DFT, PBE
State: optimized geometry

Cell: 8.706 8.706 8.706 Å, 95.13 95.13 95.13°
Sites, in units of the cell vectors:
Er1 0.185 0.748 0.318
Er2 0.582 0.515 0.852
Er3 0.418 0.485 0.148
Er4 0.252 0.682 0.815
Er5 0.815 0.252 0.682
Er6 0.682 0.815 0.252
Er7 0.485 0.148 0.418
Er8 0.515 0.852 0.582
Er9 0.748 0.318 0.185
Er10 0.852 0.582 0.515
Er11 0.148 0.418 0.485
Er12 0.318 0.185 0.748
Pm1 0.644 0.980 0.914
Pm2 0.500 0.500 0.500
Pm3 0.914 0.644 0.980
Pm4 0.020 0.086 0.356
Pm5 0.086 0.356 0.020
Pm6 0.980 0.914 0.644
Pm7 0.356 0.020 0.086
Nd1 0.000 0.000 0.000

Values from the calculation:
**Space group**: R-3 (148)
**Energy above the most stable polymorph in this dataset**: 0.00 kcal/mol of atoms
**Total moment**: 0.00 μB/atom
**Energy relative to the elements**: 28 kJ/mol of atoms

Material: TiAs2CSe
Method: DFT, PBE
State: optimized geometry

Cell: 4.320 4.320 4.348 Å, 90.00 90.00 90.00°
Sites, in units of the cell vectors:
As1 0.000 0.500 0.000
As2 0.500 0.000 0.000
Se1 0.000 0.000 0.500
C1 0.000 0.000 0.000
Ti1 0.500 0.500 0.500

Values from the calculation:
**Space group**: P4/mmm (123)
**Energy above the most stable polymorph in this dataset**: 0.00 kcal/mol of atoms
**Uncorrected formation energy**: 808 meV/atom
**Total moment**: 0.01 μB/atom

Material: GaCu5Au4
Method: DFT, PBE
State: optimized geometry

Cell: 4.672 5.465 6.299 Å, 102.83 105.56 77.28°
Sites, in units of the cell vectors:
Au1 0.127 0.891 0.203
Au2 0.873 0.109 0.797
Au3 0.691 0.301 0.386
Au4 0.309 0.699 0.614
Ga1 0.500 0.000 0.000
Cu1 0.283 0.213 0.605
Cu2 0.093 0.407 0.193
Cu3 0.717 0.787 0.395
Cu4 0.500 0.500 0.000
Cu5 0.907 0.593 0.807

Values from the calculation:
**Space group**: P-1 (2)
**Energy above the most stable polymorph in this dataset**: 0.00 kcal/mol of atoms
**Total moment**: 0.00 μB/atom
**Energy relative to the elements**: -6 kJ/mol of atoms

Material: Sm2Tm7In3
Method: DFT, PBE
State: optimized geometry

Cell: 3.646 5.486 17.744 Å, 98.89 90.00 90.00°
Sites, in units of the cell vectors:
In1 0.500 0.352 0.705
In2 0.500 0.500 0.000
In3 0.500 0.648 0.295
Tm1 0.000 0.572 0.144
Tm2 0.000 0.726 0.452
Tm3 0.500 0.911 0.822
Tm4 0.500 0.089 0.178
Tm5 0.000 0.428 0.856
Tm6 0.000 0.274 0.548
Tm7 0.000 0.000 0.000
Sm1 0.000 0.173 0.346
Sm2 0.000 0.827 0.654

Values from the calculation:
**Space group**: Cmmm (65)
**Total moment**: 0.00 μB/atom
**Energy relative to the elements**: -11 kJ/mol of atoms

Material: Li9AcZn3
Method: DFT, PBE
State: optimized geometry

Cell: 5.434 7.435 7.401 Å, 81.35 68.46 65.83°
Sites, in units of the cell vectors:
Li1 0.625 0.347 0.360
Li2 0.733 0.774 0.766
Li3 0.499 0.774 0.234
Li4 0.000 0.500 0.000
Li5 0.375 0.653 0.640
Li6 0.501 0.226 0.766
Li7 0.985 0.347 0.640
Li8 0.015 0.653 0.360
Li9 0.267 0.226 0.234
Zn1 0.500 0.500 0.000
Zn2 0.000 0.000 0.500
Zn3 0.500 0.000 0.500
Ac1 0.000 0.000 0.000

Values from the calculation:
**Space group**: C2/m (12)
**Total moment**: 0.00 μB/atom
**Energy relative to the elements**: -8 kJ/mol of atoms

Material: Hg2PRh
Method: DFT, PBE
State: optimized geometry

Cell: 3.718 3.718 5.360 Å, 90.00 90.00 90.00°
Sites, in units of the cell vectors:
Rh1 0.500 0.500 0.500
Hg1 0.000 0.000 0.748
Hg2 0.000 0.000 0.252
P1 0.500 0.500 0.000

Values from the calculation:
**Space group**: P4/mmm (123)
**Total moment**: 0.00 μB/atom
**Energy relative to the elements**: 38 kJ/mol of atoms

Material: EuHo2Sn
Method: DFT, PBE
State: optimized geometry

Cell: 4.101 4.101 7.087 Å, 90.00 90.00 90.00°
Last column: magnetic moment on the atom in μB.
Sites, in units of the cell vectors:
Eu1 0.500 0.500 0.000  -6.88
Ho1 0.000 0.000 0.280  -0.10
Ho2 0.000 0.000 0.720  -0.10
Sn1 0.500 0.500 0.500  0.03

Values from the calculation:
**Space group**: P4/mmm (123)
**Energy above the most stable polymorph in this dataset**: 2.88 kcal/mol of atoms
**Total moment**: 1.86 μB/atom
**Energy relative to the elements**: -23 kJ/mol of atoms

Material: Ce5Pm2Pb5
Method: DFT, PBE
State: optimized geometry

Cell: 4.701 7.974 11.319 Å, 113.40 90.00 107.15°
Last column: magnetic moment on the atom in μB.
Sites, in units of the cell vectors:
Ce1 0.656 0.312 0.019  0.69
Ce2 0.367 0.733 0.752  0.78
Ce3 0.500 0.000 0.500  0.82
Ce4 0.633 0.267 0.248  0.78
Ce5 0.344 0.688 0.981  0.69
Pb1 0.153 0.306 0.480  0.01
Pb2 0.722 0.444 0.773  -0.01
Pb3 0.847 0.694 0.520  0.01
Pb4 0.000 0.000 0.000  -0.02
Pb5 0.278 0.556 0.227  -0.01
Pm1 0.928 0.856 0.255  0.11
Pm2 0.072 0.144 0.745  0.11

Values from the calculation:
**Space group**: C2/m (12)
**Total moment**: 0.41 μB/atom
**Energy relative to the elements**: -26 kJ/mol of atoms

Material: LiCr2RhN
Method: DFT, PBE
State: optimized geometry

Cell: 3.809 3.809 3.895 Å, 90.00 90.00 90.00°
Last column: magnetic moment on the atom in μB.
Sites, in units of the cell vectors:
Cr1 0.500 0.000 0.000  1.53
Cr2 0.000 0.500 0.000  1.53
Rh1 0.500 0.500 0.500  0.17
Li1 0.000 0.000 0.500  -0.02
N1 0.000 0.000 0.000  -0.12

Values from the calculation:
**Space group**: P4/mmm (123)
**Uncorrected formation energy**: -220 meV/atom
**Total moment**: 0.65 μB/atom

Material: Nd4HgSb
Method: DFT, PBE
State: optimized geometry

Cell: 5.755 5.755 11.679 Å, 104.24 104.23 90.04°
Sites, in units of the cell vectors:
Hg1 0.000 0.500 0.500
Hg2 0.500 0.000 0.500
Nd1 0.080 0.079 0.659
Nd2 0.177 0.676 0.853
Nd3 0.823 0.324 0.147
Nd4 0.580 0.579 0.659
Nd5 0.677 0.176 0.853
Nd6 0.420 0.421 0.341
Nd7 0.920 0.921 0.341
Nd8 0.323 0.824 0.147
Sb1 0.250 0.250 0.000
Sb2 0.750 0.750 0.000

Values from the calculation:
**Space group**: P4/mmm (123)
**Uncorrected formation energy**: -467 meV/atom
**Total moment**: 0.00 μB/atom

Material: KGe
Method: DFT, PBE
State: optimized geometry

Cell: 9.725 9.725 9.725 Å, 90.00 90.00 90.00°
Sites, in units of the cell vectors:
K1 0.210 0.790 0.790
K2 0.790 0.210 0.790
K3 0.710 0.710 0.710
K4 0.790 0.790 0.210
K5 0.290 0.290 0.710
K6 0.710 0.290 0.290
K7 0.210 0.210 0.210
K8 0.290 0.710 0.290
Ge1 0.405 0.405 0.405
Ge2 0.405 0.595 0.595
Ge3 0.095 0.095 0.905
Ge4 0.095 0.905 0.095
Ge5 0.595 0.405 0.595
Ge6 0.595 0.595 0.405
Ge7 0.905 0.095 0.095
Ge8 0.905 0.905 0.905

Values from the calculation:
**Space group**: I-43m (217)
**Energy above the most stable polymorph in this dataset**: 2.81 kcal/mol of atoms
**Total moment**: 0.00 μB/atom
**Energy relative to the elements**: -9 kJ/mol of atoms

Material: SiRuSeBr2
Method: DFT, PBE
State: optimized geometry

Cell: 5.043 5.043 4.991 Å, 90.00 90.00 90.00°
Last column: magnetic moment on the atom in μB.
Sites, in units of the cell vectors:
Br1 0.500 0.000 0.000  0.05
Br2 0.000 0.500 0.000  0.05
Se1 0.000 0.000 0.500  0.10
Si1 0.000 0.000 0.000  -0.01
Ru1 0.500 0.500 0.500  2.81

Values from the calculation:
**Space group**: P4/mmm (123)
**Energy above the most stable polymorph in this dataset**: 5.70 kcal/mol of atoms
**Uncorrected formation energy**: 823 meV/atom
**Total moment**: 0.67 μB/atom

Material: PmLuIrOs
Method: DFT, PBE
State: optimized geometry

Cell: 4.847 4.847 4.847 Å, 60.00 60.00 60.00°
Sites, in units of the cell vectors:
Os1 0.000 0.000 0.000
Lu1 0.250 0.250 0.250
Ir1 0.500 0.500 0.500
Pm1 0.750 0.750 0.750

Values from the calculation:
**Space group**: F-43m (216)
**Total moment**: 0.00 μB/atom
**Energy relative to the elements**: -36 kJ/mol of atoms